Computed, not measured: a geometry-optimized CaPm5Pr6 structure at the PBE level of DFT.

Cell and atoms, written as CIF:
```
data_CaPm5Pr6
_symmetry_space_group_name_H-M 'P 1'
_symmetry_Int_Tables_number 1
_symmetry_space_group_name_Hall 'P 1'
_cell_length_a 5.231
_cell_length_b 9.793
_cell_length_c 9.793
_cell_angle_alpha 106.64
_cell_angle_beta 105.51
_cell_angle_gamma 105.51
loop_
_atom_site_label
_atom_site_type_symbol
_atom_site_fract_x
_atom_site_fract_y
_atom_site_fract_z
Pr1 Pr 0.253 0.084 0.421
Pr2 Pr 0.747 0.579 0.916
Pr3 Pr 0.757 0.257 0.257
Pr4 Pr 0.243 0.743 0.743
Pr5 Pr 0.253 0.421 0.084
Pr6 Pr 0.747 0.916 0.579
Ca1 Ca 0.000 0.000 0.000
Pm1 Pm 0.500 0.171 0.829
Pm2 Pm 0.000 0.333 0.667
Pm3 Pm 0.500 0.500 0.500
Pm4 Pm 0.000 0.667 0.333
Pm5 Pm 0.500 0.829 0.171
```

Summary:
Calculated formation energy: 0.03 eV per atom
Total magnetic moment: 0.00 μB per cell

=====

Computed, not measured: a geometry-optimized La2NdDy5Er structure at the PBE level of DFT.

Cell and atoms, written as CIF:
```
data_La2NdDy5Er
_symmetry_space_group_name_H-M 'P 1'
_symmetry_Int_Tables_number 1
_symmetry_space_group_name_Hall 'P 1'
_cell_length_a 8.691
_cell_length_b 8.691
_cell_length_c 10.023
_cell_angle_alpha 115.69
_cell_angle_beta 115.69
_cell_angle_gamma 90.00
loop_
_atom_site_label
_atom_site_type_symbol
_atom_site_fract_x
_atom_site_fract_y
_atom_site_fract_z
La1 La 0.118 0.382 0.000
La2 La 0.618 0.118 0.000
La3 La 0.382 0.882 0.000
La4 La 0.882 0.618 0.000
Nd1 Nd 0.250 0.250 0.500
Nd2 Nd 0.750 0.750 0.500
Dy1 Dy 0.925 0.425 0.282
Dy2 Dy 0.643 0.143 0.718
Dy3 Dy 0.075 0.575 0.718
Dy4 Dy 0.143 0.075 0.718
Dy5 Dy 0.575 0.643 0.718
Dy6 Dy 0.857 0.925 0.282
Dy7 Dy 0.425 0.357 0.282
Dy8 Dy 0.357 0.857 0.282
Dy9 Dy 0.500 0.500 0.000
Dy10 Dy 0.000 0.000 0.000
Er1 Er 0.250 0.750 0.500
Er2 Er 0.750 0.250 0.500
```

Summary:
Calculated formation energy: 0.26 eV per atom
Total magnetic moment: 0.00 μB per cell

=====

Computed, not measured: a geometry-optimized CrRuPt3 structure at the PBE level of DFT.

Cell and atoms, written as CIF:
```
data_CrRuPt3
_symmetry_space_group_name_H-M 'P 1'
_symmetry_Int_Tables_number 1
_symmetry_space_group_name_Hall 'P 1'
_cell_length_a 4.507
_cell_length_b 4.507
_cell_length_c 4.507
_cell_angle_alpha 90.00
_cell_angle_beta 90.00
_cell_angle_gamma 90.00
loop_
_atom_site_label
_atom_site_type_symbol
_atom_site_fract_x
_atom_site_fract_y
_atom_site_fract_z
Ru1 Ru 0.500 0.500 0.500
Pt1 Pt 0.000 0.500 0.000
Pt2 Pt 0.000 0.000 0.500
Pt3 Pt 0.500 0.000 0.000
Cr1 Cr 0.000 0.000 0.000
```

Summary:
Polymorph energy (0 for the lowest one): 0.0000 eV per atom
Calculated formation energy: 1.30 eV per atom
Total magnetic moment: 0.00 μB per cell

=====

Computed, not measured: a geometry-optimized Y2AgSn2 structure at the PBE level of DFT.

Cell and atoms, written as CIF:
```
data_Y2AgSn2
_symmetry_space_group_name_H-M 'P 1'
_symmetry_Int_Tables_number 1
_symmetry_space_group_name_Hall 'P 1'
_cell_length_a 4.610
_cell_length_b 6.130
_cell_length_c 10.048
_cell_angle_alpha 80.52
_cell_angle_beta 76.74
_cell_angle_gamma 67.91
loop_
_atom_site_label
_atom_site_type_symbol
_atom_site_fract_x
_atom_site_fract_y
_atom_site_fract_z
Y1 Y 0.320 0.259 0.102
Y2 Y 0.505 0.318 0.673
Y3 Y 0.680 0.741 0.898
Y4 Y 0.495 0.682 0.327
Ag1 Ag 0.789 0.083 0.339
Ag2 Ag 0.211 0.917 0.661
Sn1 Sn 0.961 0.192 0.887
Sn2 Sn 0.145 0.283 0.428
Sn3 Sn 0.039 0.808 0.113
Sn4 Sn 0.855 0.717 0.572
```

Summary:
Polymorph energy (0 for the lowest one): 0.0000 eV per atom
Calculated formation energy: -0.62 eV per atom
Total magnetic moment: 0.00 μB per cell